# ZrNb2CoRe (GGA-PBE, relaxed)
data_ZrNb2CoRe
_chemical_formula_sum 'Zr1 Nb2 Co1 Re1'
_space_group_name_H-M_alt 'P 4/m m m'
_space_group_IT_number 123
_space_group_name_Hall '-P 4 2'
_cell_length_a 4.497
_cell_length_b 4.497
_cell_length_c 4.760
_cell_angle_alpha 90.00
_cell_angle_beta 90.00
_cell_angle_gamma 90.00
loop_
_atom_site_label
_atom_site_type_symbol
_atom_site_fract_x
_atom_site_fract_y
_atom_site_fract_z
Zr1 Zr 0.000 0.000 0.000
Nb1 Nb 0.000 0.500 0.500
Co1 Co 0.000 0.000 0.500
Re1 Re 0.500 0.500 0.000
# - Magnetization: 0.00 μB/cell
# - Crystal system: tetragonal
# - Energy of formation from the pure elements: 0.8303 eV/atom